Record 1
A plane-wave DFT calculation with PBE was carried out for a relaxed Y3TcO crystal.

a = 4.685 Å, b = 4.685 Å, c = 4.685 Å
α = 90.00°, β = 90.00°, γ = 90.00°
Fractional positions:
Y 0.000 0.000 0.500
Y 0.000 0.500 0.000
Y 0.500 0.000 0.000
Tc 0.500 0.500 0.500
O 0.000 0.000 0.000

Calculated values
- SG: Pm-3m, No. 221
- Volume: 102.9 Å³ per cell
- Crystal system: cubic
- Energy above the lowest structure with this stoichiometry: 0.0 meV per atom
- Energy relative to the elements, uncorrected: -1.03 eV/atom

***

Record 2
A plane-wave DFT calculation with PBE was carried out for a relaxed Nd3YAs3 crystal.

a = 8.972 Å, b = 8.972 Å, c = 8.972 Å
α = 90.00°, β = 90.00°, γ = 90.00°
Fractional positions:
Nd 0.065 0.435 0.565
Nd 0.182 0.818 0.318
Nd 0.184 0.184 0.184
Nd 0.316 0.816 0.684
Nd 0.318 0.182 0.818
Nd 0.435 0.565 0.065
Nd 0.565 0.065 0.435
Nd 0.682 0.682 0.682
Nd 0.684 0.316 0.816
Nd 0.816 0.684 0.316
Nd 0.818 0.318 0.182
Nd 0.935 0.935 0.935
Y 0.066 0.566 0.934
Y 0.434 0.434 0.434
Y 0.566 0.934 0.066
Y 0.934 0.066 0.566
As 0.001 0.254 0.872
As 0.128 0.501 0.246
As 0.246 0.128 0.501
As 0.254 0.872 0.001
As 0.372 0.499 0.746
As 0.499 0.746 0.372
As 0.501 0.246 0.128
As 0.628 0.999 0.754
As 0.746 0.372 0.499
As 0.754 0.628 0.999
As 0.872 0.001 0.254
As 0.999 0.754 0.628

Calculated values
- SG: P2_13, No. 198
- Volume: 722.3 Å³ per cell
- Crystal system: cubic
- Formation energy: -1265 meV per atom

***

Record 3
A plane-wave DFT calculation with PBE was carried out for a relaxed CaFe2Cu crystal.

a = 3.133 Å, b = 3.133 Å, c = 6.684 Å
α = 90.00°, β = 90.00°, γ = 90.00°
Fractional positions:
Ca 0.000 0.000 0.000
Fe 0.000 0.000 0.521
Fe 0.500 0.500 0.679
Cu 0.500 0.500 0.308

Calculated values
- SG: P4mm, No. 99
- Volume: 65.6 Å³ per cell
- Crystal system: tetragonal
- Formation energy: 286 meV per atom